Record 1
Compound: Ac5GaRu
Source: the Alexandria database
Functional: PBE
Structure: relaxed

The calculation puts the spin magnetization at 0.000 μB/atom. Its total energy is -4.79 eV/atom.

Lattice parameters (Å, degrees): 7.4967 7.4967 11.6872 71.51 71.51 62.61
Positions (direct):
Ac  0.9502  0.6237  0.1363
Ac  0.2234  0.5638  0.5172
Ac  0.6237  0.9502  0.6363
Ac  0.9394  0.0606  0.2500
Ac  0.4362  0.7766  0.9828
Ac  0.5638  0.2234  0.0172
Ac  0.0606  0.9394  0.7500
Ac  0.3763  0.0498  0.3637
Ac  0.7766  0.4362  0.4828
Ac  0.0498  0.3763  0.8637
Ga  0.5228  0.4772  0.2500
Ga  0.4772  0.5228  0.7500
Ru  0.0000  0.0000  0.0000
Ru  0.0000  0.0000  0.5000

Record 2
Compound: Ac4Ga2Ru
Source: the Alexandria database
Functional: PBE
Structure: relaxed

The calculation puts the spin magnetization at 0.000 μB/atom. Its total energy is -4.74 eV/atom.

Lattice parameters (Å, degrees): 5.5575 5.5575 8.9427 108.10 108.10 90.00
Positions (direct):
Ru  0.0000  0.0000  0.0000
Ac  0.8150  0.8150  0.6301
Ac  0.1850  0.1850  0.3699
Ac  0.0000  0.5000  0.0000
Ac  0.5000  0.0000  0.0000
Ga  0.6213  0.6213  0.2426
Ga  0.3787  0.3787  0.7574

Record 3
Compound: Ac2Ga9Ru6
Source: the Alexandria database
Functional: PBE
Structure: relaxed

The calculation puts the spin magnetization at 0.055 μB/atom. Its total energy is -5.61 eV/atom.

Lattice parameters (Å, degrees): 6.7746 6.7746 9.0842 90.00 90.00 120.00
Positions (direct):
Ac  0.0000  0.0000  0.7325
Ac  0.0000  0.0000  0.2675
Ga  0.5000  0.0000  0.8363
Ga  0.0000  0.5000  0.8363
Ga  0.5000  0.5000  0.8363
Ga  0.5000  0.0000  0.1637
Ga  0.0000  0.5000  0.1637
Ga  0.5000  0.5000  0.1637
Ga  0.5000  0.0000  0.5000
Ga  0.0000  0.5000  0.5000
Ga  0.5000  0.5000  0.5000
Ru  0.3333  0.6667  0.0000
Ru  0.6667  0.3333  0.0000
Ru  0.3333  0.6667  0.6688
Ru  0.6667  0.3333  0.6688
Ru  0.6667  0.3333  0.3312
Ru  0.3333  0.6667  0.3312

Record 4
Compound: Ac2Ga3Ru2
Source: the Alexandria database
Functional: PBE
Structure: relaxed

The calculation puts the spin magnetization at 0.000 μB/atom. Its total energy is -5.58 eV/atom.

Lattice parameters (Å, degrees): 4.0867 5.8187 7.7619 114.66 90.00 110.56
Positions (direct):
Ac  0.8605  0.7210  0.2392
Ac  0.1395  0.2790  0.7608
Ga  0.5000  0.0000  0.0000
Ga  0.6511  0.3023  0.4387
Ga  0.3489  0.6977  0.5613
Ru  0.8741  0.7482  0.7947
Ru  0.1259  0.2518  0.2053

Record 5
Compound: Ac2Ga2Ru
Source: the Alexandria database
Functional: PBE
Structure: relaxed

The calculation puts the spin magnetization at 0.000 μB/atom. Its total energy is -5.06 eV/atom.

Lattice parameters (Å, degrees): 4.1452 7.5201 8.9339 90.00 103.41 90.00
Positions (direct):
Ac  0.9425  0.7045  0.8849
Ac  0.7436  0.4341  0.4872
Ac  0.2564  0.9341  0.5128
Ac  0.0575  0.2045  0.1151
Ga  0.4097  0.3570  0.8193
Ga  0.8748  0.1222  0.7496
Ga  0.1252  0.6222  0.2504
Ga  0.5903  0.8570  0.1807
Ru  0.4512  0.0166  0.9024
Ru  0.5488  0.5166  0.0976

Record 6
Compound: Ac3Ga2Ru4
Source: the Alexandria database
Functional: PBE
Structure: relaxed

The calculation puts the spin magnetization at 0.000 μB/atom. Its total energy is -6.44 eV/atom.

Lattice parameters (Å, degrees): 4.3163 6.0492 10.0928 59.12 77.92 69.14
Positions (direct):
Ac  0.6255  0.1281  0.6197
Ac  0.0000  0.0000  0.0000
Ac  0.3745  0.8719  0.3803
Ga  0.6651  0.4511  0.2234
Ga  0.3349  0.5489  0.7766
Ru  0.2512  0.4280  0.0709
Ru  0.9102  0.5243  0.6466
Ru  0.0898  0.4757  0.3534
Ru  0.7488  0.5720  0.9291